An optimized crystal structure of HoEr4Tl, computed with PBE.

Properties
Mass density   9.7 g cm⁻³
Uncorrected energy   -4.30 eV per atom
DOS at the Fermi energy   6.2 states/eV/f.u.
Space-group type   P4/mmm, No. 123
ΔE_f   -0.1032 eV/atom

a b c (Å): 3.550 3.550 14.099
angles (deg): 90.00 90.00 90.00
Positions (direct):
Ho 0.000 0.000 0.000
Er 0.500 0.500 0.175
Er 0.000 0.000 0.651
Er 0.000 0.000 0.349
Er 0.500 0.500 0.825
Tl 0.500 0.500 0.500

An optimized crystal structure of Sr3Ga9Cu2, computed with PBE.

Properties
Mass density   5.9 g cm⁻³
Uncorrected energy   -3.25 eV per atom
DOS at the Fermi energy   4.6 states/eV/f.u.
Space-group type   Immm, No. 71
ΔE_f   -0.3549 eV/atom

a b c (Å): 4.459 8.461 8.461
angles (deg): 72.05 74.72 74.72
Positions (direct):
Sr 0.000 0.000 0.000
Sr 0.691 0.309 0.309
Sr 0.309 0.691 0.691
Ga 0.000 0.500 0.500
Ga 0.660 0.976 0.704
Ga 0.340 0.024 0.296
Ga 0.660 0.704 0.976
Ga 0.340 0.296 0.024
Ga 0.864 0.857 0.415
Ga 0.136 0.143 0.585
Ga 0.864 0.415 0.857
Ga 0.136 0.585 0.143
Cu 0.500 0.287 0.713
Cu 0.500 0.713 0.287

An optimized crystal structure of DyHoHgIr, computed with PBE.

Properties
Mass density   13.3 g cm⁻³
Uncorrected energy   -5.22 eV per atom
DOS at the Fermi energy   2.0 states/eV/f.u.
Space-group type   F-43m, No. 216
ΔE_f   -0.6308 eV/atom

a b c (Å): 5.024 5.024 5.024
angles (deg): 60.00 60.00 60.00
Positions (direct):
Ir 0.000 0.000 0.000
Dy 0.750 0.750 0.750
Hg 0.500 0.500 0.500
Ho 0.250 0.250 0.250

An optimized crystal structure of Mg2InRh3, computed with PBE.

Properties
Mass density   8.3 g cm⁻³
Uncorrected energy   -5.18 eV per atom
DOS at the Fermi energy   3.0 states/eV/f.u.
Space-group type   Cmmm, No. 65
ΔE_f   -0.5137 eV/atom

a b c (Å): 3.187 4.452 7.031
angles (deg): 108.46 90.00 90.00
Positions (direct):
Mg 0.000 0.332 0.664
Mg 0.000 0.668 0.336
In 0.000 0.000 0.000
Rh 0.500 0.500 0.000
Rh 0.500 0.832 0.663
Rh 0.500 0.168 0.337

An optimized crystal structure of LiPrGe4O12, computed with PBE.

Properties
Mass density   4.9 g cm⁻³
Uncorrected energy   -6.08 eV per atom
DOS at the Fermi energy   8.7 states/eV/f.u.
Space-group type   P4/mmm, No. 123
Uncorrected formation energy   -1.379 eV/atom

a b c (Å): 5.270 5.270 7.679
angles (deg): 90.00 90.00 90.00
Last column: magnetic moment on the atom in μB.
Positions (direct):
Li 0.500 0.500 0.000  0.00
Pr 0.000 0.000 0.500  -0.03
Ge 0.000 0.500 0.764  -0.03
Ge 0.000 0.500 0.236  -0.03
Ge 0.500 0.000 0.764  -0.03
Ge 0.500 0.000 0.236  -0.03
O 0.245 0.245 0.737  0.24
O 0.245 0.245 0.263  0.24
O 0.755 0.755 0.263  0.24
O 0.755 0.755 0.737  0.24
O 0.755 0.245 0.737  0.24
O 0.755 0.245 0.263  0.24
O 0.245 0.755 0.263  0.24
O 0.245 0.755 0.737  0.24
O 0.000 0.500 0.500  0.47
O 0.000 0.500 0.000  0.16
O 0.500 0.000 0.500  0.47
O 0.500 0.000 0.000  0.16

An optimized crystal structure of CsMg3Co, computed with PBE.

Properties
Mass density   3.1 g cm⁻³
Uncorrected energy   -2.22 eV per atom
DOS at the Fermi energy   2.2 states/eV/f.u.
Space-group type   Pm-3m, No. 221
ΔE_f   0.3246 eV/atom

a b c (Å): 5.193 5.193 5.193
angles (deg): 90.00 90.00 90.00
Positions (direct):
Cs 0.500 0.500 0.500
Mg 0.000 0.500 0.000
Mg 0.000 0.000 0.500
Mg 0.500 0.000 0.000
Co 0.000 0.000 0.000

An optimized crystal structure of Th2Be3Ni12Pt, computed with PBE.

Properties
Mass density   8.7 g cm⁻³
Uncorrected energy   -5.50 eV per atom
DOS at the Fermi energy   11.1 states/eV/f.u.
Space-group type   R-3m, No. 166
ΔE_f   0.1310 eV/atom

a b c (Å): 7.150 7.150 7.150
angles (deg): 61.14 61.14 61.14
Positions (direct):
Th 0.610 0.610 0.610
Th 0.390 0.390 0.390
Be 0.500 0.000 0.000
Be 0.000 0.500 0.000
Be 0.000 0.000 0.500
Ni 0.351 0.351 0.897
Ni 0.865 0.865 0.406
Ni 0.406 0.865 0.865
Ni 0.897 0.351 0.351
Ni 0.865 0.406 0.865
Ni 0.351 0.897 0.351
Ni 0.649 0.649 0.103
Ni 0.135 0.135 0.594
Ni 0.594 0.135 0.135
Ni 0.103 0.649 0.649
Ni 0.135 0.594 0.135
Ni 0.649 0.103 0.649
Pt 0.000 0.000 0.000

An optimized crystal structure of Nd2ErSb, computed with PBE.

Properties
Mass density   6.9 g cm⁻³
Uncorrected energy   -4.85 eV per atom
DOS at the Fermi energy   5.4 states/eV/f.u.
Space-group type   R-3m, No. 166
Uncorrected formation energy   -0.298 eV/atom

a b c (Å): 4.104 4.104 9.870
angles (deg): 78.00 78.00 60.00
Last column: magnetic moment on the atom in μB.
Positions (direct):
Sb 0.000 0.000 0.000  0.00
Nd 0.264 0.264 0.208  0.06
Nd 0.736 0.736 0.792  0.06
Er 0.500 0.500 0.500  0.34

An optimized crystal structure of TmFeB2Ru, computed with PBE.

Properties
Mass density   9.0 g cm⁻³
Uncorrected energy   -7.56 eV per atom
DOS at the Fermi energy   3.0 states/eV/f.u.
Space-group type   I-4m2, No. 119
ΔE_f   -0.4430 eV/atom

a b c (Å): 3.709 3.709 5.359
angles (deg): 110.25 110.25 90.00
Last column: magnetic moment on the atom in μB.
Positions (direct):
Tm 0.000 0.000 0.000  -0.07
Fe 0.750 0.250 0.500  1.23
B 0.646 0.646 0.291  -0.04
B 0.354 0.354 0.709  -0.04
Ru 0.250 0.750 0.500  0.10

An optimized crystal structure of TbFeGe, computed with PBE.

Properties
Mass density   8.3 g cm⁻³
Uncorrected energy   -6.31 eV per atom
DOS at the Fermi energy   3.6 states/eV/f.u.
Space-group type   P-6m2, No. 187
ΔE_f   -0.4095 eV/atom

a b c (Å): 3.812 4.175 4.175
angles (deg): 120.00 90.00 90.00
Last column: magnetic moment on the atom in μB.
Positions (direct):
Ge 0.167 0.000 0.000  -0.03
Tb 0.666 0.333 0.667  -0.14
Fe 0.167 0.667 0.333  1.86

An optimized crystal structure of Ac6Cd5Au, computed with PBE.

Properties
Mass density   8.9 g cm⁻³
Uncorrected energy   -3.08 eV per atom
DOS at the Fermi energy   13.2 states/eV/f.u.
Space-group type   P2/m, No. 10
ΔE_f   -0.3680 eV/atom

a b c (Å): 5.712 8.102 9.053
angles (deg): 90.00 71.51 90.00
Positions (direct):
Ac 0.838 0.753 0.323
Ac 0.838 0.247 0.323
Ac 0.500 0.241 0.000
Ac 0.500 0.759 0.000
Ac 0.162 0.753 0.677
Ac 0.162 0.247 0.677
Au 0.000 0.000 0.000
Cd 0.671 0.500 0.658
Cd 0.326 0.000 0.349
Cd 0.000 0.500 0.000
Cd 0.674 0.000 0.651
Cd 0.329 0.500 0.342

An optimized crystal structure of Sr2Al2GaO6, computed with PBE.

Properties
Mass density   4.2 g cm⁻³
Uncorrected energy   -6.31 eV per atom
DOS at the Fermi energy   1.3 states/eV/f.u.
Space-group type   R-3m, No. 166
Uncorrected formation energy   -2.341 eV/atom

a b c (Å): 5.696 5.696 6.430
angles (deg): 63.71 63.71 60.00
Last column: magnetic moment on the atom in μB.
Positions (direct):
Sr 0.793 0.793 0.622  0.00
Sr 0.207 0.207 0.378  0.00
Al 0.422 0.422 0.733  0.06
Al 0.578 0.578 0.267  0.06
Ga 0.000 0.000 0.000  0.04
O 0.764 0.764 0.232  0.03
O 0.239 0.764 0.232  0.03
O 0.764 0.239 0.232  0.03
O 0.236 0.761 0.768  0.03
O 0.761 0.236 0.768  0.03
O 0.236 0.236 0.768  0.03